First-principles (GGA-PBE) data for a relaxed Nd4GaPI2 crystal, as listed in Alexandria.

## Properties
The value obtained for the uncorrected formation energy is -1.07 eV per atom. The space group is No. 10.

a = 4.303 Å, b = 7.421 Å, c = 8.117 Å
α = 108.03°, β = 90.00°, γ = 90.00°
Fractional positions:
Nd1 0.500 0.239 0.201
Nd2 0.500 0.761 0.799
Nd3 0.000 0.274 0.806
Nd4 0.000 0.726 0.194
Ga1 0.000 0.000 0.000
P1 0.500 0.500 0.000
I1 0.500 0.000 0.500
I2 0.000 0.500 0.500


First-principles (GGA-PBE) data for a relaxed Na3CdH5 crystal, as listed in Alexandria.

## Properties
The space group is No. 140. As for the total energy: -44.709 eV/cell.

a = 6.738 Å, b = 6.738 Å, c = 7.203 Å
α = 117.89°, β = 117.89°, γ = 90.00°
Fractional positions:
Na1 0.683 0.183 0.000
Na2 0.317 0.817 0.000
Na3 0.817 0.683 0.000
Na4 0.183 0.317 0.000
Na5 0.250 0.250 0.500
Na6 0.750 0.750 0.500
Cd1 0.750 0.250 0.500
Cd2 0.250 0.750 0.500
H1 0.003 0.503 0.709
H2 0.706 0.206 0.709
H3 0.206 0.003 0.709
H4 0.503 0.706 0.709
H5 0.997 0.497 0.291
H6 0.294 0.794 0.291
H7 0.794 0.997 0.291
H8 0.497 0.294 0.291
H9 0.500 0.500 0.000
H10 0.000 0.000 0.000


First-principles (GGA-PBE) data for a relaxed Ce2HoHfP4 crystal, as listed in Alexandria.

## Properties
The value obtained for the formation energy is -1.4806 eV per atom. The space group is No. 10.

a = 3.949 Å, b = 6.849 Å, c = 6.847 Å
α = 109.36°, β = 90.00°, γ = 90.00°
Last column: magnetic moment on the atom in μB.
Fractional positions:
Ce1 0.500 0.000 0.500  0.23
Ce2 0.000 0.500 0.500  0.34
Ho1 0.500 0.500 0.000  0.00
Hf1 0.000 0.000 0.000  0.01
P1 0.500 0.235 0.231  -0.01
P2 0.500 0.765 0.769  -0.01
P3 0.000 0.244 0.763  -0.01
P4 0.000 0.756 0.237  -0.01


First-principles (GGA-PBE) data for a relaxed KNd2YS4 crystal, as listed in Alexandria.

## Properties
The value obtained for the uncorrected formation energy is -1.87 eV per atom. The space group is No. 10.

a = 4.055 Å, b = 7.109 Å, c = 7.150 Å
α = 71.25°, β = 90.00°, γ = 90.00°
Fractional positions:
K1 0.500 0.500 0.000
Nd1 0.000 0.000 0.000
Nd2 0.500 0.000 0.500
Y1 0.000 0.500 0.500
S1 0.000 0.759 0.731
S2 0.000 0.241 0.269
S3 0.500 0.745 0.264
S4 0.500 0.255 0.736


First-principles (GGA-PBE) data for a relaxed Ca2Hg2Au3 crystal, as listed in Alexandria.

## Properties
The value obtained for the formation energy is -0.5293 eV per atom. The space group is No. 12.

a = 4.102 Å, b = 5.714 Å, c = 7.541 Å
α = 88.05°, β = 90.00°, γ = 111.03°
Fractional positions:
Ca1 0.890 0.781 0.307
Ca2 0.110 0.219 0.693
Hg1 0.811 0.623 0.871
Hg2 0.189 0.377 0.129
Au1 0.500 0.000 0.000
Au2 0.603 0.207 0.381
Au3 0.397 0.793 0.619


First-principles (GGA-PBE) data for a relaxed TaZnMo2W crystal, as listed in Alexandria.

## Properties
The value obtained for the formation energy is 1.6249 eV per atom. The space group is No. 123.

a = 4.511 Å, b = 4.570 Å, c = 4.511 Å
α = 90.00°, β = 90.00°, γ = 90.00°
Fractional positions:
Mo1 0.000 0.000 0.500
Mo2 0.500 0.000 0.000
Zn1 0.000 0.000 0.000
W1 0.000 0.500 0.000
Ta1 0.500 0.500 0.500


What did the third record say?
First-principles (GGA-PBE) data for a relaxed Ce2HoHfP4 crystal, as listed in Alexandria.

## Properties
The value obtained for the formation energy is -1.4806 eV per atom. The space group is No. 10.

a = 3.949 Å, b = 6.849 Å, c = 6.847 Å
α = 109.36°, β = 90.00°, γ = 90.00°
Last column: magnetic moment on the atom in μB.
Fractional positions:
Ce1 0.500 0.000 0.500  0.23
Ce2 0.000 0.500 0.500  0.34
Ho1 0.500 0.500 0.000  0.00
Hf1 0.000 0.000 0.000  0.01
P1 0.500 0.235 0.231  -0.01
P2 0.500 0.765 0.769  -0.01
P3 0.000 0.244 0.763  -0.01
P4 0.000 0.756 0.237  -0.01